Entry 1:
## Sr2InSb2 (PBE-GGA)

Data for a relaxed Sr2InSb2 crystal.

The structure belongs to space group P4/mbm (No. 127); the cell edges are 8.400, 8.400 and 4.741 Å and the angles 90.00°, 90.00° and 90.00°. The distinct sites, in fractional coordinates, are Sr at (0.177, 0.323, 0.000), In at (0.000, 0.000, 0.500) and Sb at (0.123, 0.623, 0.500).

The calculation puts the formation energy from raw total energies at -3.6 eV per formula unit. For the energy relative to the lowest polymorph listed for this composition, the calculation gives 19 meV/atom.

Entry 2:
## CaInSb2F (PBE-GGA)

Data for a relaxed CaInSb2F crystal.

The structure belongs to space group P4/mmm (No. 123); the cell edges are 5.060, 5.060 and 4.978 Å and the angles 90.00°, 90.00° and 90.00°. The distinct sites, in fractional coordinates, are Ca at (0.000, 0.000, 0.000), In at (0.500, 0.500, 0.000), Sb at (0.000, 0.500, 0.500) and F at (0.500, 0.500, 0.500).

The calculation puts the formation energy from raw total energies at -3.3 eV per formula unit.

Number 1: E_tot -17.9 eV/f.u.. Number 2: E_tot -18.2 eV/f.u..